Tb2SmGd after structural relaxation. Source: the Alexandria database, functional PBE.

Structure (CIF):
```
data_Tb2SmGd
_chemical_formula_sum 'Tb2 Sm1 Gd1'
_cell_length_a 5.069
_cell_length_b 5.069
_cell_length_c 5.054
_cell_angle_alpha 90.00
_cell_angle_beta 90.00
_cell_angle_gamma 90.00
_space_group_name_H-M_alt 'P 4/m m m'
_space_group_IT_number 123
_space_group_name_Hall '-P 4 2'
loop_
_atom_site_label
_atom_site_type_symbol
_atom_site_fract_x
_atom_site_fract_y
_atom_site_fract_z
Tb1 Tb 0.000 0.500 0.000
Sm1 Sm 0.000 0.000 0.500
Gd1 Gd 0.500 0.500 0.500
```

The calculation puts the calculated density at 8.00 g/cm3. The excess energy over the best structure of this formula in the dataset is 0 kJ/mol of formula units.

***

TbSm2Gd after structural relaxation. Source: the Alexandria database, functional PBE.

Structure (CIF):
```
data_TbSm2Gd
_chemical_formula_sum 'Tb1 Sm2 Gd1'
_cell_length_a 3.602
_cell_length_b 3.602
_cell_length_c 10.175
_cell_angle_alpha 90.00
_cell_angle_beta 90.00
_cell_angle_gamma 90.00
_space_group_name_H-M_alt 'P 4/m m m'
_space_group_IT_number 123
_space_group_name_Hall '-P 4 2'
loop_
_atom_site_label
_atom_site_type_symbol
_atom_site_fract_x
_atom_site_fract_y
_atom_site_fract_z
Tb1 Tb 0.000 0.000 0.000
Sm1 Sm 0.500 0.500 0.248
Gd1 Gd 0.000 0.000 0.500
```

The calculation puts the calculated density at 7.76 g/cm3. The excess energy over the best structure of this formula in the dataset is 1 kJ/mol of formula units.

***

Tb2SmGd after structural relaxation. Source: the Alexandria database, functional PBE.

Structure (CIF):
```
data_Tb2SmGd
_chemical_formula_sum 'Tb6 Sm3 Gd3'
_cell_length_a 3.5837
_cell_length_b 3.5837
_cell_length_c 35.0805
_cell_angle_alpha 90.00
_cell_angle_beta 90.00
_cell_angle_gamma 120.00
_space_group_name_H-M_alt 'R -3 m'
_space_group_IT_number 166
_space_group_name_Hall '-R 3 2"'
loop_
_atom_site_label
_atom_site_type_symbol
_atom_site_fract_x
_atom_site_fract_y
_atom_site_fract_z
Tb1 Tb 0.0000 0.0000 0.2502
Sm1 Sm 0.0000 0.0000 0.5000
Gd1 Gd 0.0000 0.0000 0.0000
```

The calculation puts the calculated density at 7.99 g/cm3. The excess energy over the best structure of this formula in the dataset is 1 kJ/mol of formula units.

***

Tb2SmGd after structural relaxation. Source: the Alexandria database, functional PBE.

Structure (CIF):
```
data_Tb2SmGd
_chemical_formula_sum 'Tb8 Sm4 Gd4'
_cell_length_a 8.073
_cell_length_b 8.073
_cell_length_c 8.073
_cell_angle_alpha 90.00
_cell_angle_beta 90.00
_cell_angle_gamma 90.00
_space_group_name_H-M_alt 'F m -3 m'
_space_group_IT_number 225
_space_group_name_Hall '-F 4 2 3'
loop_
_atom_site_label
_atom_site_type_symbol
_atom_site_fract_x
_atom_site_fract_y
_atom_site_fract_z
Tb1 Tb 0.250 0.250 0.250
Sm1 Sm 0.000 0.000 0.000
Gd1 Gd 0.000 0.000 0.500
```

The calculation puts the calculated density at 7.90 g/cm3. The excess energy over the best structure of this formula in the dataset is 41 kJ/mol of formula units.

***

TbSm2Gd after structural relaxation. Source: the Alexandria database, functional PBE.

Structure (CIF):
```
data_TbSm2Gd
_chemical_formula_sum 'Tb3 Sm6 Gd3'
_cell_length_a 3.5186
_cell_length_b 3.5186
_cell_length_c 37.5505
_cell_angle_alpha 90.00
_cell_angle_beta 90.00
_cell_angle_gamma 120.00
_space_group_name_H-M_alt 'R -3 m'
_space_group_IT_number 166
_space_group_name_Hall '-R 3 2"'
loop_
_atom_site_label
_atom_site_type_symbol
_atom_site_fract_x
_atom_site_fract_y
_atom_site_fract_z
Tb1 Tb 0.0000 0.0000 0.0000
Sm1 Sm 0.0000 0.0000 0.0891
Gd1 Gd 0.0000 0.0000 0.5000
```

The calculation puts the calculated density at 7.63 g/cm3. The excess energy over the best structure of this formula in the dataset is 66 kJ/mol of formula units.

***

Tb2SmGd after structural relaxation. Source: the Alexandria database, functional PBE.

Structure (CIF):
```
data_Tb2SmGd
_chemical_formula_sum 'Tb2 Sm1 Gd1'
_cell_length_a 3.586
_cell_length_b 3.586
_cell_length_c 10.112
_cell_angle_alpha 90.00
_cell_angle_beta 90.00
_cell_angle_gamma 90.00
_space_group_name_H-M_alt 'P 4/m m m'
_space_group_IT_number 123
_space_group_name_Hall '-P 4 2'
loop_
_atom_site_label
_atom_site_type_symbol
_atom_site_fract_x
_atom_site_fract_y
_atom_site_fract_z
Tb1 Tb 0.000 0.000 0.249
Sm1 Sm 0.500 0.500 0.500
Gd1 Gd 0.500 0.500 0.000
```

The calculation puts the calculated density at 7.99 g/cm3. The excess energy over the best structure of this formula in the dataset is 2 kJ/mol of formula units.

***

TbSmGd after structural relaxation. Source: the Alexandria database, functional PBE.

Structure (CIF):
```
data_TbSmGd
_chemical_formula_sum 'Tb1 Sm1 Gd1'
_cell_length_a 5.6750
_cell_length_b 5.6750
_cell_length_c 3.5120
_cell_angle_alpha 90.00
_cell_angle_beta 90.00
_cell_angle_gamma 120.00
_space_group_name_H-M_alt 'P -6 m 2'
_space_group_IT_number 187
_space_group_name_Hall 'P -6 2'
loop_
_atom_site_label
_atom_site_type_symbol
_atom_site_fract_x
_atom_site_fract_y
_atom_site_fract_z
Tb1 Tb 0.0000 0.0000 0.0000
Sm1 Sm 0.6667 0.3333 0.5000
Gd1 Gd 0.3333 0.6667 0.5000
```

The calculation puts the calculated density at 7.91 g/cm3. The excess energy over the best structure of this formula in the dataset is 0 kJ/mol of formula units.

***

TbSmGd after structural relaxation. Source: the Alexandria database, functional PBE.

Structure (CIF):
```
data_TbSmGd
_chemical_formula_sum 'Tb2 Sm2 Gd2'
_cell_length_a 4.181
_cell_length_b 4.181
_cell_length_c 11.364
_cell_angle_alpha 90.00
_cell_angle_beta 90.00
_cell_angle_gamma 90.00
_space_group_name_H-M_alt 'I 4 m m'
_space_group_IT_number 107
_space_group_name_Hall 'I 4 -2'
loop_
_atom_site_label
_atom_site_type_symbol
_atom_site_fract_x
_atom_site_fract_y
_atom_site_fract_z
Tb1 Tb 0.000 0.000 0.000
Sm1 Sm 0.000 0.000 0.670
Gd1 Gd 0.000 0.000 0.339
```

The calculation puts the calculated density at 7.80 g/cm3. The excess energy over the best structure of this formula in the dataset is 14 kJ/mol of formula units.

***

TbSmGdTl after structural relaxation. Source: the Alexandria database, functional PBE.

Structure (CIF):
```
data_TbSmGdTl
_chemical_formula_sum 'Tb4 Sm4 Gd4 Tl4'
_cell_length_a 7.811
_cell_length_b 7.811
_cell_length_c 7.811
_cell_angle_alpha 90.00
_cell_angle_beta 90.00
_cell_angle_gamma 90.00
_space_group_name_H-M_alt 'F -4 3 m'
_space_group_IT_number 216
_space_group_name_Hall 'F -4 2 3'
loop_
_atom_site_label
_atom_site_type_symbol
_atom_site_fract_x
_atom_site_fract_y
_atom_site_fract_z
Tb1 Tb 0.000 0.000 0.000
Sm1 Sm 0.250 0.250 0.250
Gd1 Gd 0.250 0.250 0.750
Tl1 Tl 0.000 0.000 0.500
```

The calculation puts the calculated density at 9.35 g/cm3.

***

TbSmGdTm after structural relaxation. Source: the Alexandria database, functional PBE.

Structure (CIF):
```
data_TbSmGdTm
_chemical_formula_sum 'Tb4 Sm4 Gd4 Tm4'
_cell_length_a 8.031
_cell_length_b 8.031
_cell_length_c 8.031
_cell_angle_alpha 90.00
_cell_angle_beta 90.00
_cell_angle_gamma 90.00
_space_group_name_H-M_alt 'F -4 3 m'
_space_group_IT_number 216
_space_group_name_Hall 'F -4 2 3'
loop_
_atom_site_label
_atom_site_type_symbol
_atom_site_fract_x
_atom_site_fract_y
_atom_site_fract_z
Tb1 Tb 0.000 0.000 0.000
Sm1 Sm 0.250 0.250 0.250
Gd1 Gd 0.250 0.250 0.750
Tm1 Tm 0.000 0.000 0.500
```

The calculation puts the calculated density at 8.15 g/cm3.

***

TbSmGdY after structural relaxation. Source: the Alexandria database, functional PBE.

Structure (CIF):
```
data_TbSmGdY
_chemical_formula_sum 'Tb4 Sm4 Gd4 Y4'
_cell_length_a 8.081
_cell_length_b 8.081
_cell_length_c 8.081
_cell_angle_alpha 90.00
_cell_angle_beta 90.00
_cell_angle_gamma 90.00
_space_group_name_H-M_alt 'F -4 3 m'
_space_group_IT_number 216
_space_group_name_Hall 'F -4 2 3'
loop_
_atom_site_label
_atom_site_type_symbol
_atom_site_fract_x
_atom_site_fract_y
_atom_site_fract_z
Tb1 Tb 0.000 0.000 0.000
Sm1 Sm 0.250 0.250 0.250
Gd1 Gd 0.250 0.250 0.750
Y1 Y 0.000 0.000 0.500
```

The calculation puts the calculated density at 6.99 g/cm3.

***

TbSmGdZr after structural relaxation. Source: the Alexandria database, functional PBE.

Structure (CIF):
```
data_TbSmGdZr
_chemical_formula_sum 'Tb4 Sm4 Gd4 Zr4'
_cell_length_a 7.837
_cell_length_b 7.837
_cell_length_c 7.837
_cell_angle_alpha 90.00
_cell_angle_beta 90.00
_cell_angle_gamma 90.00
_space_group_name_H-M_alt 'F -4 3 m'
_space_group_IT_number 216
_space_group_name_Hall 'F -4 2 3'
loop_
_atom_site_label
_atom_site_type_symbol
_atom_site_fract_x
_atom_site_fract_y
_atom_site_fract_z
Tb1 Tb 0.000 0.000 0.000
Sm1 Sm 0.250 0.250 0.250
Gd1 Gd 0.000 0.000 0.500
Zr1 Zr 0.250 0.250 0.750
```

The calculation puts the calculated density at 7.70 g/cm3.

***

SmGdTc4 after structural relaxation. Source: the Alexandria database, functional PBE.

Structure (CIF):
```
data_SmGdTc4
_chemical_formula_sum 'Sm4 Gd4 Tc16'
_cell_length_a 7.699
_cell_length_b 7.699
_cell_length_c 7.699
_cell_angle_alpha 90.00
_cell_angle_beta 90.00
_cell_angle_gamma 90.00
_space_group_name_H-M_alt 'F -4 3 m'
_space_group_IT_number 216
_space_group_name_Hall 'F -4 2 3'
loop_
_atom_site_label
_atom_site_type_symbol
_atom_site_fract_x
_atom_site_fract_y
_atom_site_fract_z
Sm1 Sm 0.000 0.000 0.000
Gd1 Gd 0.250 0.250 0.250
Tc1 Tc 0.125 0.125 0.625
```

The calculation puts the calculated density at 10.18 g/cm3.

***

Sm2GdTh after structural relaxation. Source: the Alexandria database, functional PBE.

Structure (CIF):
```
data_Sm2GdTh
_chemical_formula_sum 'Sm8 Gd4 Th4'
_cell_length_a 8.099
_cell_length_b 8.099
_cell_length_c 8.099
_cell_angle_alpha 90.00
_cell_angle_beta 90.00
_cell_angle_gamma 90.00
_space_group_name_H-M_alt 'F m -3 m'
_space_group_IT_number 225
_space_group_name_Hall '-F 4 2 3'
loop_
_atom_site_label
_atom_site_type_symbol
_atom_site_fract_x
_atom_site_fract_y
_atom_site_fract_z
Sm1 Sm 0.250 0.250 0.250
Gd1 Gd 0.000 0.000 0.000
Th1 Th 0.000 0.000 0.500
```

The calculation puts the calculated density at 8.63 g/cm3. The excess energy over the best structure of this formula in the dataset is 53 kJ/mol of formula units.

***

SmGd2Th after structural relaxation. Source: the Alexandria database, functional PBE.

Structure (CIF):
```
data_SmGd2Th
_chemical_formula_sum 'Sm1 Gd2 Th1'
_cell_length_a 3.581
_cell_length_b 3.581
_cell_length_c 10.206
_cell_angle_alpha 90.00
_cell_angle_beta 90.00
_cell_angle_gamma 90.00
_space_group_name_H-M_alt 'P 4/m m m'
_space_group_IT_number 123
_space_group_name_Hall '-P 4 2'
loop_
_atom_site_label
_atom_site_type_symbol
_atom_site_fract_x
_atom_site_fract_y
_atom_site_fract_z
Sm1 Sm 0.000 0.000 0.000
Gd1 Gd 0.500 0.500 0.259
Th1 Th 0.000 0.000 0.500
```

The calculation puts the calculated density at 8.84 g/cm3. The excess energy over the best structure of this formula in the dataset is 0 kJ/mol of formula units.

***

SmGd2Th after structural relaxation. Source: the Alexandria database, functional PBE.

Structure (CIF):
```
data_SmGd2Th
_chemical_formula_sum 'Sm1 Gd2 Th1'
_cell_length_a 5.058
_cell_length_b 5.058
_cell_length_c 5.098
_cell_angle_alpha 90.00
_cell_angle_beta 90.00
_cell_angle_gamma 90.00
_space_group_name_H-M_alt 'P 4/m m m'
_space_group_IT_number 123
_space_group_name_Hall '-P 4 2'
loop_
_atom_site_label
_atom_site_type_symbol
_atom_site_fract_x
_atom_site_fract_y
_atom_site_fract_z
Sm1 Sm 0.000 0.000 0.000
Gd1 Gd 0.000 0.500 0.500
Th1 Th 0.500 0.500 0.000
```

The calculation puts the calculated density at 8.87 g/cm3. The excess energy over the best structure of this formula in the dataset is 6 kJ/mol of formula units.

***

Sm2GdTh after structural relaxation. Source: the Alexandria database, functional PBE.

Structure (CIF):
```
data_Sm2GdTh
_chemical_formula_sum 'Sm2 Gd1 Th1'
_cell_length_a 5.091
_cell_length_b 5.091
_cell_length_c 5.084
_cell_angle_alpha 90.00
_cell_angle_beta 90.00
_cell_angle_gamma 90.00
_space_group_name_H-M_alt 'P 4/m m m'
_space_group_IT_number 123
_space_group_name_Hall '-P 4 2'
loop_
_atom_site_label
_atom_site_type_symbol
_atom_site_fract_x
_atom_site_fract_y
_atom_site_fract_z
Sm1 Sm 0.000 0.500 0.000
Gd1 Gd 0.000 0.000 0.500
Th1 Th 0.500 0.500 0.500
```

The calculation puts the calculated density at 8.70 g/cm3. The excess energy over the best structure of this formula in the dataset is 5 kJ/mol of formula units.

***

Sm2GdTh after structural relaxation. Source: the Alexandria database, functional PBE.

Structure (CIF):
```
data_Sm2GdTh
_chemical_formula_sum 'Sm2 Gd1 Th1'
_cell_length_a 3.602
_cell_length_b 3.602
_cell_length_c 10.226
_cell_angle_alpha 90.00
_cell_angle_beta 90.00
_cell_angle_gamma 90.00
_space_group_name_H-M_alt 'P 4/m m m'
_space_group_IT_number 123
_space_group_name_Hall '-P 4 2'
loop_
_atom_site_label
_atom_site_type_symbol
_atom_site_fract_x
_atom_site_fract_y
_atom_site_fract_z
Sm1 Sm 0.000 0.000 0.241
Gd1 Gd 0.500 0.500 0.500
Th1 Th 0.500 0.500 0.000
```

The calculation puts the calculated density at 8.64 g/cm3. The excess energy over the best structure of this formula in the dataset is 0 kJ/mol of formula units.

***

SmGd2Th after structural relaxation. Source: the Alexandria database, functional PBE.

Structure (CIF):
```
data_SmGd2Th
_chemical_formula_sum 'Sm4 Gd8 Th4'
_cell_length_a 8.093
_cell_length_b 8.093
_cell_length_c 8.093
_cell_angle_alpha 90.00
_cell_angle_beta 90.00
_cell_angle_gamma 90.00
_space_group_name_H-M_alt 'F m -3 m'
_space_group_IT_number 225
_space_group_name_Hall '-F 4 2 3'
loop_
_atom_site_label
_atom_site_type_symbol
_atom_site_fract_x
_atom_site_fract_y
_atom_site_fract_z
Sm1 Sm 0.000 0.000 0.000
Gd1 Gd 0.250 0.250 0.250
Th1 Th 0.000 0.000 0.500
```

The calculation puts the calculated density at 8.73 g/cm3. The excess energy over the best structure of this formula in the dataset is 49 kJ/mol of formula units.

***

SmGdTmTh after structural relaxation. Source: the Alexandria database, functional PBE.

Structure (CIF):
```
data_SmGdTmTh
_chemical_formula_sum 'Sm4 Gd4 Tm4 Th4'
_cell_length_a 8.047
_cell_length_b 8.047
_cell_length_c 8.047
_cell_angle_alpha 90.00
_cell_angle_beta 90.00
_cell_angle_gamma 90.00
_space_group_name_H-M_alt 'F -4 3 m'
_space_group_IT_number 216
_space_group_name_Hall 'F -4 2 3'
loop_
_atom_site_label
_atom_site_type_symbol
_atom_site_fract_x
_atom_site_fract_y
_atom_site_fract_z
Sm1 Sm 0.000 0.000 0.000
Gd1 Gd 0.000 0.000 0.500
Tm1 Tm 0.250 0.250 0.750
Th1 Th 0.250 0.250 0.250
```

The calculation puts the calculated density at 9.03 g/cm3.

***

| no. | volume (Å³/cell) | DFT formation energy (eV/atom) |
| --- | --- | --- |
| 1 | 129.87 | 0.01 |
| 2 | 132.05 | 0.02 |
| 3 | 390.18 | 0.02 |
| 4 | 526.11 | 0.12 |
| 5 | 402.60 | 0.19 |
| 6 | 130.05 | 0.02 |
| 7 | 97.95 | 0.06 |
| 8 | 198.62 | 0.11 |
| 9 | 476.64 | -0.06 |
| 10 | 517.92 | 0.12 |
| 11 | 527.78 | 0.12 |
| 12 | 481.37 | 0.21 |
| 13 | 456.31 | -0.05 |
| 14 | 531.32 | 0.18 |
| 15 | 130.86 | 0.03 |
| 16 | 130.41 | 0.05 |
| 17 | 131.77 | 0.05 |
| 18 | 132.68 | 0.04 |
| 19 | 529.98 | 0.16 |
| 20 | 520.99 | 0.18 |